Entry 1:
DFT (GGA-PBE) results for a relaxed structure of Pr5SmDy6.

The space group is Immm (No. 71) and the conventional cell measures 5.148, 10.155 and 15.398 Å, with angles of 90.00, 90.00 and 90.00 degrees. The distinct sites, in fractional coordinates, are Pr at (0.000, 0.000, 0.000), Pr at (0.000, 0.000, 0.334), Pr at (0.000, 0.500, 0.333), Sm at (0.000, 0.500, 0.000), Dy at (0.000, 0.249, 0.500) and Dy at (0.000, 0.251, 0.166).

As for the formation energy: 1.62 kJ per mole of atoms. As for the total energy: -112.06 eV/cell. The calculation puts the calculated volume at 804.9 Å³/cell. The density of states at the Fermi level is 16.20 states/eV/f.u.

---

Entry 2:
DFT (GGA-PBE) results for a relaxed structure of Pr4Sm6Dy.

The space group is I-42m (No. 121) and the conventional cell measures 7.678, 7.678 and 13.600 Å, with angles of 90.00, 90.00 and 90.00 degrees. The distinct sites, in fractional coordinates, are Pr at (0.175, 0.175, 0.420), Sm at (0.000, 0.500, 0.000), Sm at (0.227, 0.227, 0.186) and Dy at (0.000, 0.000, 0.000).

As for the formation energy: 37.85 kJ per mole of atoms. As for the total energy: -95.44 eV/cell. The calculation puts the calculated volume at 801.8 Å³/cell. As for the polymorph energy (0 for the lowest one): 0.113 eV per atom. The density of states at the Fermi level is 13.41 states/eV/f.u.

---

Entry 3:
DFT (GGA-PBE) results for a relaxed structure of Pr4Sm3Dy.

The space group is Pmn2_1 (No. 31) and the conventional cell measures 11.853, 7.394 and 6.388 Å, with angles of 90.00, 90.00 and 90.00 degrees. The distinct sites, in fractional coordinates, are Pr at (0.000, 0.127, 0.000), Pr at (0.000, 0.873, 0.496), Pr at (0.248, 0.872, 0.833), Sm at (0.000, 0.377, 0.500), Sm at (0.250, 0.378, 0.831) and Dy at (0.000, 0.622, 0.999).

As for the formation energy: 3.16 kJ per mole of atoms. As for the total energy: -75.23 eV/cell. The calculation puts the calculated volume at 559.9 Å³/cell. As for the polymorph energy (0 for the lowest one): 0.016 eV per atom. The density of states at the Fermi level is 14.01 states/eV/f.u.

---

Entry 4:
DFT (GGA-PBE) results for a relaxed structure of Pr2Sm6Dy3.

The space group is I4/mmm (No. 139) and the conventional cell measures 4.795, 4.795 and 33.931 Å, with angles of 90.00, 90.00 and 90.00 degrees. The distinct sites, in fractional coordinates, are Pr at (0.000, 0.000, 0.046), Sm at (0.000, 0.000, 0.199), Sm at (0.000, 0.500, 0.122), Dy at (0.000, 0.000, 0.300) and Dy at (0.000, 0.000, 0.500).

As for the formation energy: 26.26 kJ per mole of atoms. As for the total energy: -97.37 eV/cell. The calculation puts the calculated volume at 780.0 Å³/cell. As for the polymorph energy (0 for the lowest one): 0.102 eV per atom. The density of states at the Fermi level is 15.64 states/eV/f.u.

---

Entry 5:
DFT (GGA-PBE) results for a relaxed structure of Pr5Sm3Dy.

The space group is C2/m (No. 12) and the conventional cell measures 17.478, 8.247 and 9.680 Å, with angles of 90.00, 104.70 and 90.00 degrees. The distinct sites, in fractional coordinates, are Pr at (0.000, 0.175, 0.000), Pr at (0.003, 0.000, 0.672), Pr at (0.163, 0.216, 0.573), Pr at (0.191, 0.000, 0.913), Sm at (0.000, 0.500, 0.000), Sm at (0.000, 0.500, 0.500), Sm at (0.151, 0.500, 0.276), Sm at (0.188, 0.000, 0.263) and Dy at (0.129, 0.500, 0.838).

As for the formation energy: 38.22 kJ per mole of atoms. As for the total energy: -156.37 eV/cell. The calculation puts the calculated volume at 1349.7 Å³/cell. As for the polymorph energy (0 for the lowest one): 0.141 eV per atom. The density of states at the Fermi level is 15.13 states/eV/f.u.

---

Entry 6:
DFT (GGA-PBE) results for a relaxed structure of Pr4SmDy15.

The space group is P4/mmm (No. 123) and the conventional cell measures 5.072, 5.072 and 25.224 Å, with angles of 90.00, 90.00 and 90.00 degrees. The distinct sites, in fractional coordinates, are Pr at (0.000, 0.000, 0.100), Pr at (0.000, 0.000, 0.300), Sm at (0.000, 0.000, 0.500), Dy at (0.000, 0.500, 0.000), Dy at (0.000, 0.500, 0.200), Dy at (0.000, 0.500, 0.401), Dy at (0.500, 0.500, 0.100), Dy at (0.500, 0.500, 0.301) and Dy at (0.500, 0.500, 0.500).

As for the formation energy: 1.90 kJ per mole of atoms. As for the total energy: -92.48 eV/cell. The calculation puts the calculated volume at 648.8 Å³/cell. The density of states at the Fermi level is 26.38 states/eV/f.u.

---

Entry 7:
DFT (GGA-PBE) results for a relaxed structure of Pr6SmDy2.

The space group is C2/c (No. 15) and the conventional cell measures 11.423, 21.485 and 6.096 Å, with angles of 90.00, 121.94 and 90.00 degrees. The distinct sites, in fractional coordinates, are Pr at (0.076, 0.147, 0.082), Pr at (0.122, 0.278, 0.621), Pr at (0.125, 0.448, 0.623), Sm at (0.000, 0.009, 0.750) and Dy at (0.209, 0.372, 0.205).

As for the formation energy: 12.66 kJ per mole of atoms. As for the total energy: -165.68 eV/cell. The calculation puts the calculated volume at 1269.6 Å³/cell. As for the polymorph energy (0 for the lowest one): 0.000 eV per atom. The density of states at the Fermi level is 13.44 states/eV/f.u.

---

Entry 8:
DFT (GGA-PBE) results for a relaxed structure of PrSm2Dy3.

The space group is Cmc2_1 (No. 36) and the conventional cell measures 9.548, 13.250 and 6.408 Å, with angles of 90.00, 90.00 and 90.00 degrees. The distinct sites, in fractional coordinates, are Pr at (0.000, 0.176, 0.000), Sm at (0.182, 0.442, 0.223), Dy at (0.000, 0.082, 0.475) and Dy at (0.182, 0.305, 0.679).

As for the formation energy: 20.69 kJ per mole of atoms. As for the total energy: -106.95 eV/cell. The calculation puts the calculated volume at 810.6 Å³/cell. As for the polymorph energy (0 for the lowest one): 0.148 eV per atom. The density of states at the Fermi level is 9.17 states/eV/f.u.

---

Question: Number 2 is which compound?
Answer: Pr4Sm6Dy